(1)
Computed, not measured: a geometry-optimized Ag5Pt4 structure at the PBEsol level of DFT.

Structure (POSCAR):
```
Ag5Pt4
1.0
-0.6812 2.9594 -2.5173
3.5629 -2.7946 -4.2495
-5.3858 -3.4013 0.5491
Pt Ag
4 5
direct
0.1724 0.0043 0.3447 Pt
0.8276 0.9957 0.6553 Pt
0.2756 0.6672 0.5512 Pt
0.7244 0.3328 0.4488 Pt
0.6110 0.6635 0.2221 Ag
0.5000 0.0000 0.0000 Ag
0.9447 0.6722 0.8895 Ag
0.3890 0.3365 0.7779 Ag
0.0553 0.3278 0.1105 Ag
```

## Properties
**Symmetry**: No. 12
**Relative energy among the computed polymorphs**: 17 kJ/mol of formula units
**N(E_F)**: 5.15 states/eV per cell
**Raw total energy**: -44.251 eV/f.u.
**Total magnetization**: 0.000 μB/atom

(2)
Computed, not measured: a geometry-optimized Ag2Pt3 structure at the PBEsol level of DFT.

Structure (POSCAR):
```
Ag2Pt3
1.0
-1.7857 -1.8573 -0.9819
0.1077 -0.7484 -2.6515
6.8923 -9.4777 1.5217
Ag Pt
2 3
direct
0.4003 0.4003 0.7992 Ag
0.5997 0.5997 0.2008 Ag
0.1997 0.1997 0.4009 Pt
0.0000 0.0000 0.0000 Pt
0.8003 0.8003 0.5991 Pt
```

## Properties
**Symmetry**: No. 166
**Relative energy among the computed polymorphs**: 0 kJ/mol of formula units
**N(E_F)**: 4.38 states/eV per cell
**Raw total energy**: -27.612 eV/f.u.
**Total magnetization**: 0.000 μB/atom

(3)
Computed, not measured: a geometry-optimized AgPt structure at the PBEsol level of DFT.

Structure (POSCAR):
```
AgPt
1.0
4.9623 0.0155 0.0094
4.1845 2.6673 0.0094
4.1845 1.2273 2.3682
Ag Pt
1 1
direct
0.0000 0.0000 0.0000 Ag
0.5000 0.5000 0.5000 Pt
```

## Properties
**Symmetry**: No. 166
**N(E_F)**: 1.42 states/eV per cell
**Raw total energy**: -10.361 eV/f.u.
**Total magnetization**: 0.000 μB/atom

(4)
Computed, not measured: a geometry-optimized Ag5Pt4 structure at the PBEsol level of DFT.

Structure (POSCAR):
```
Ag5Pt4
1.0
-2.3623 -2.2411 2.2267
2.8757 -1.0178 5.5206
-3.7430 3.8087 3.3566
Pt Ag
4 5
direct
0.0000 0.6604 0.3396 Pt
0.3396 0.6604 0.6604 Pt
0.0000 0.3396 0.6604 Pt
0.6604 0.3396 0.3396 Pt
0.3329 0.0000 0.3343 Ag
0.3329 0.3343 0.0000 Ag
0.0000 0.0000 0.0000 Ag
0.6671 0.6657 0.0000 Ag
0.6671 0.0000 0.6657 Ag
```

## Properties
**Symmetry**: No. 139
**Relative energy among the computed polymorphs**: 28 kJ/mol of formula units
**N(E_F)**: 6.38 states/eV per cell
**Raw total energy**: -44.137 eV/f.u.
**Total magnetization**: 0.000 μB/atom

(5)
Computed, not measured: a geometry-optimized Ag3Pt2 structure at the PBEsol level of DFT.

Structure (POSCAR):
```
Ag3Pt2
1.0
2.7981 0.0000 0.0000
-1.3990 7.3335 0.0062
0.0000 -2.2430 7.6767
Ag Pt
6 4
direct
0.0000 0.0000 0.5000 Ag
0.7986 0.5972 0.8942 Ag
0.6014 0.2028 0.7981 Ag
0.2014 0.4028 0.1058 Ag
0.0000 0.0000 0.0000 Ag
0.3986 0.7972 0.2019 Ag
0.1989 0.3977 0.5908 Pt
0.6002 0.2004 0.3016 Pt
0.3998 0.7996 0.6984 Pt
0.8011 0.6023 0.4092 Pt
```

## Properties
**Symmetry**: No. 12
**Relative energy among the computed polymorphs**: 21 kJ/mol of formula units
**N(E_F)**: 6.63 states/eV per cell
**Raw total energy**: -23.842 eV/f.u.
**Total magnetization**: 0.000 μB/atom

(6)
Computed, not measured: a geometry-optimized Ag4Pt structure at the PBEsol level of DFT.

Structure (POSCAR):
```
Ag4Pt
1.0
2.8274 0.0000 0.0000
0.0000 2.8274 0.0000
-1.4137 -1.4137 10.0887
Pt Ag
1 4
direct
0.0000 0.0000 0.0000 Pt
0.8008 0.8008 0.6017 Ag
0.1992 0.1992 0.3983 Ag
0.5977 0.5977 0.1953 Ag
0.4023 0.4023 0.8047 Ag
```

## Properties
**Symmetry**: No. 139
**Relative energy among the computed polymorphs**: 12 kJ/mol of formula units
**N(E_F)**: 1.94 states/eV per cell
**Raw total energy**: -20.154 eV/f.u.
**Total magnetization**: 0.000 μB/atom

(7)
Computed, not measured: a geometry-optimized Ag5Pt7 structure at the PBEsol level of DFT.

Structure (POSCAR):
```
Ag5Pt7
1.0
4.8229 0.0012 0.0011
0.8483 6.2212 -0.0033
0.8483 0.4634 6.2039
Pt Ag
7 5
direct
0.5000 0.4926 0.5074 Pt
0.0000 0.3385 0.6615 Pt
0.5000 0.1672 0.8328 Pt
0.7428 0.7512 0.7483 Pt
0.7536 0.0901 0.4253 Pt
0.2464 0.5747 0.9099 Pt
0.2572 0.2517 0.2488 Pt
0.2507 0.9150 0.5829 Ag
0.0000 0.6693 0.3307 Ag
0.5000 0.8328 0.1672 Ag
0.7493 0.4171 0.0850 Ag
0.0000 0.9998 0.0002 Ag
```

## Properties
**Symmetry**: No. 5
**Relative energy among the computed polymorphs**: 52 kJ/mol of formula units
**N(E_F)**: 11.99 states/eV per cell
**Raw total energy**: -64.805 eV/f.u.
**Total magnetization**: 0.000 μB/atom

(8)
Computed, not measured: a geometry-optimized AgPt structure at the PBEsol level of DFT.

Structure (POSCAR):
```
AgPt
1.0
-4.0480 -2.2940 -1.5498
1.1188 -3.9558 -2.6723
-0.5595 -1.9165 7.1008
Ag Pt
5 5
direct
0.5000 0.2998 0.5996 Ag
0.0000 0.0001 0.0003 Ag
0.5000 0.4994 0.9988 Ag
0.5000 0.0986 0.1971 Ag
0.0000 0.8004 0.6008 Ag
0.0000 0.2012 0.4023 Pt
0.5000 0.6992 0.3983 Pt
0.0000 0.6029 0.2058 Pt
0.5000 0.8963 0.7926 Pt
0.0000 0.4021 0.8042 Pt
```

## Properties
**Symmetry**: No. 5
**N(E_F)**: 6.32 states/eV per cell
**Raw total energy**: -10.182 eV/f.u.
**Total magnetization**: 0.000 μB/atom

| no. | formation energy (eV per formula unit) |
| --- | --- |
| 1 | 0.16 |
| 2 | -0.10 |
| 3 | -0.09 |
| 4 | 0.27 |
| 5 | 0.02 |
| 6 | 0.05 |
| 7 | 0.50 |
| 8 | 0.09 |